# Ce3HIr2

A geometry-optimized Ce3HIr2 structure (PBE, Alexandria).

The structure in CIF format:
```
data_Ce3HIr2
_space_group_name_H-M_alt 'C 1 2/m 1'
_space_group_IT_number 12
_cell_length_a 6.968
_cell_length_b 12.070
_cell_length_c 6.778
_cell_angle_alpha 90.00
_cell_angle_beta 109.88
_cell_angle_gamma 90.00
loop_
_space_group_symop_operation_xyz
'x,y,z'
'-x,-y,-z'
'-x,y,-z'
'x,-y,z'
'x+1/2,y+1/2,z'
'-x+1/2,-y+1/2,-z'
'-x+1/2,y+1/2,-z'
'x+1/2,-y+1/2,z'
loop_
_atom_site_label
_atom_site_type_symbol
_atom_site_fract_x
_atom_site_fract_y
_atom_site_fract_z
Ce1 Ce 0.250 0.000 0.248
Ce2 Ce 0.250 0.167 0.747
H1 H 0.000 0.334 0.500
Ir1 Ir 0.000 0.000 0.500
Ir2 Ir 0.000 0.171 0.000
Ir3 Ir 0.000 0.500 0.000
```

Summary:
Total DFT energy (no corrections) = -7.071 eV/atom



# SrReAgCl2

A geometry-optimized SrReAgCl2 structure (PBE, Alexandria).

The structure in CIF format:
```
data_SrReAgCl2
_space_group_name_H-M_alt 'P 4/m m m'
_space_group_IT_number 123
_space_group_name_Hall '-P 4 2'
_cell_length_a 5.419
_cell_length_b 5.419
_cell_length_c 6.964
_cell_angle_alpha 90.00
_cell_angle_beta 90.00
_cell_angle_gamma 90.00
loop_
_atom_site_label
_atom_site_type_symbol
_atom_site_fract_x
_atom_site_fract_y
_atom_site_fract_z
Sr1 Sr 0.000 0.000 0.000
Re1 Re 0.000 0.000 0.500
Ag1 Ag 0.500 0.500 0.500
Cl1 Cl 0.000 0.500 0.000
```

Summary:
Energy relative to the elements, uncorrected = 0.512 eV/atom



# CsKMgPd2

A geometry-optimized CsKMgPd2 structure (PBE, Alexandria).

The structure in CIF format:
```
data_CsKMgPd2
_space_group_name_H-M_alt 'P 4/m m m'
_space_group_IT_number 123
_space_group_name_Hall '-P 4 2'
_cell_length_a 5.549
_cell_length_b 5.549
_cell_length_c 6.188
_cell_angle_alpha 90.00
_cell_angle_beta 90.00
_cell_angle_gamma 90.00
loop_
_atom_site_label
_atom_site_type_symbol
_atom_site_fract_x
_atom_site_fract_y
_atom_site_fract_z
Cs1 Cs 0.000 0.000 0.000
K1 K 0.000 0.000 0.500
Mg1 Mg 0.500 0.500 0.000
Pd1 Pd 0.000 0.500 0.500
```

Summary:
Energy relative to the elements = 84.9 kJ per mole of atoms



# BaTa2Ir

A geometry-optimized BaTa2Ir structure (PBE, Alexandria).

The structure in CIF format:
```
data_BaTa2Ir
_space_group_name_H-M_alt 'I 4/m m m'
_space_group_IT_number 139
_space_group_name_Hall '-I 4 2'
_cell_length_a 4.131
_cell_length_b 4.131
_cell_length_c 10.042
_cell_angle_alpha 90.00
_cell_angle_beta 90.00
_cell_angle_gamma 90.00
loop_
_atom_site_label
_atom_site_type_symbol
_atom_site_fract_x
_atom_site_fract_y
_atom_site_fract_z
Ba1 Ba 0.000 0.000 0.000
Ta1 Ta 0.000 0.500 0.250
Ir1 Ir 0.000 0.000 0.500
```

Summary:
Energy relative to the elements = 98.9 kJ per mole of atoms
E above lowest polymorph = 808 meV per atom



# CdPd6Au12

A geometry-optimized CdPd6Au12 structure (PBE, Alexandria).

The structure in CIF format:
```
data_CdPd6Au12
_space_group_name_H-M_alt 'R -3'
_space_group_IT_number 148
_space_group_name_Hall '-R 3'
_cell_length_a 11.2793
_cell_length_b 11.2793
_cell_length_c 9.3273
_cell_angle_alpha 90.00
_cell_angle_beta 90.00
_cell_angle_gamma 120.00
loop_
_atom_site_label
_atom_site_type_symbol
_atom_site_fract_x
_atom_site_fract_y
_atom_site_fract_z
Cd1 Cd 0.0000 0.0000 0.0000
Pd1 Pd 0.0836 0.9147 0.7501
Au1 Au 0.0005 0.7393 0.0004
Au2 Au 0.0723 0.5373 0.1200
```

Summary:
Energy relative to the elements = 1.5 kJ per mole of atoms



# Sc2WBr

A geometry-optimized Sc2WBr structure (PBE, Alexandria).

The structure in CIF format:
```
data_Sc2WBr
_space_group_name_H-M_alt 'P 4 m m'
_space_group_IT_number 99
_cell_length_a 3.702
_cell_length_b 3.702
_cell_length_c 6.518
_cell_angle_alpha 90.00
_cell_angle_beta 90.00
_cell_angle_gamma 90.00
loop_
_space_group_symop_operation_xyz
'x,y,z'
'-y,x,z'
'-x,-y,z'
'y,-x,z'
'-x,y,z'
'y,x,z'
'x,-y,z'
'-y,-x,z'
loop_
_atom_site_label
_atom_site_type_symbol
_atom_site_fract_x
_atom_site_fract_y
_atom_site_fract_z
Sc1 Sc 0.000 0.000 0.000
Sc2 Sc 0.500 0.500 0.291
W1 W 0.000 0.000 0.414
Br1 Br 0.500 0.500 0.838
```

Summary:
Energy relative to the elements, uncorrected = 0.257 eV/atom
E above lowest polymorph = 527 meV per atom



# La6S2Br3Cl

A geometry-optimized La6S2Br3Cl structure (PBE, Alexandria).

The structure in CIF format:
```
data_La6S2Br3Cl
_space_group_name_H-M_alt 'C 1 2/m 1'
_space_group_IT_number 12
_cell_length_a 7.056
_cell_length_b 12.194
_cell_length_c 7.922
_cell_angle_alpha 90.00
_cell_angle_beta 107.16
_cell_angle_gamma 90.00
loop_
_space_group_symop_operation_xyz
'x,y,z'
'-x,-y,-z'
'-x,y,-z'
'x,-y,z'
'x+1/2,y+1/2,z'
'-x+1/2,-y+1/2,-z'
'-x+1/2,y+1/2,-z'
'x+1/2,-y+1/2,z'
loop_
_atom_site_label
_atom_site_type_symbol
_atom_site_fract_x
_atom_site_fract_y
_atom_site_fract_z
La1 La 0.231 0.000 0.218
La2 La 0.244 0.329 0.219
S1 S 0.000 0.167 0.000
Br1 Br 0.000 0.000 0.500
Br2 Br 0.000 0.335 0.500
Cl1 Cl 0.000 0.500 0.000
```

Summary:
Energy relative to the elements, uncorrected = -1.623 eV/atom



# YZn2W2

A geometry-optimized YZn2W2 structure (PBE, Alexandria).

The structure in CIF format:
```
data_YZn2W2
_space_group_name_H-M_alt 'I 4/m m m'
_space_group_IT_number 139
_space_group_name_Hall '-I 4 2'
_cell_length_a 3.829
_cell_length_b 3.829
_cell_length_c 12.462
_cell_angle_alpha 90.00
_cell_angle_beta 90.00
_cell_angle_gamma 90.00
loop_
_atom_site_label
_atom_site_type_symbol
_atom_site_fract_x
_atom_site_fract_y
_atom_site_fract_z
Y1 Y 0.000 0.000 0.000
Zn1 Zn 0.000 0.000 0.402
W1 W 0.000 0.500 0.250
```

Summary:
Energy relative to the elements = 11.0 kJ per mole of atoms